# 1
Material: MgAsO2F
Method: DFT, GGA-PBE
State: optimized geometry

Unit cell a=4.0540 b=4.0540 c=4.0781 alpha=90.00 beta=90.00 gamma=90.00
Space group P4/mmm (No. 123)
One atom of each set of equivalent atoms:
Mg 0.0000 0.0000 0.0000 (multiplicity 1)
As 0.5000 0.5000 0.5000 (multiplicity 1)
O 0.0000 0.5000 0.5000 (multiplicity 2)
F 0.5000 0.5000 0.0000 (multiplicity 1)

Calculated values
ΔE_f (raw) = -5.975 eV per formula unit
N(E_F) = 0.1784 states/eV/atom
Total magnetization = 0.0 μB/f.u.



# 2
Material: La5Pm2Er2
Method: DFT, GGA-PBE
State: optimized geometry

Unit cell a=15.2834 b=13.0904 c=6.2959 alpha=90.00 beta=90.00 gamma=90.00
Space group Ima2 (No. 46)
One atom of each set of equivalent atoms:
La 0.0489 0.1976 0.0000 (multiplicity 8)
La 0.1443 0.6842 0.1480 (multiplicity 8)
La 0.2500 0.1694 0.2373 (multiplicity 4)
Pm 0.0000 0.0000 0.5747 (multiplicity 4)
Pm 0.2500 0.0600 0.7106 (multiplicity 4)
Er 0.1364 0.5515 0.6432 (multiplicity 8)

Calculated values
N(E_F) = 1.4721 states/eV/atom
DFT formation energy = 146 meV per atom
Energy above the most stable polymorph in this dataset = 0 meV per atom
Total magnetization = 0.0 μB/f.u.



# 3
Material: TlZnIn2Au
Method: DFT, GGA-PBE
State: optimized geometry

Unit cell a=5.4036 b=5.4036 c=4.9687 alpha=90.00 beta=90.00 gamma=90.00
Space group P4/mmm (No. 123)
One atom of each set of equivalent atoms:
Tl 0.0000 0.0000 0.0000 (multiplicity 1)
Zn 0.5000 0.5000 0.0000 (multiplicity 1)
In 0.0000 0.5000 0.5000 (multiplicity 2)
Au 0.5000 0.5000 0.5000 (multiplicity 1)

Calculated values
N(E_F) = 0.4318 states/eV/atom
DFT formation energy = 76 meV per atom
Total magnetization = 0.0 μB/f.u.



# 4
Material: ZnCuTe2
Method: DFT, GGA-PBE
State: optimized geometry

Unit cell a=3.8667 b=7.0168 c=7.6045 alpha=90.00 beta=90.00 gamma=90.00
Space group Immm (No. 71)
One atom of each set of equivalent atoms:
Zn 0.0000 0.0000 0.0000 (multiplicity 2)
Cu 0.0000 0.0000 0.5000 (multiplicity 2)
Te 0.0000 0.5000 0.2298 (multiplicity 4)

Calculated values
ΔE_f (raw) = 0.631 eV per formula unit
N(E_F) = 0.4974 states/eV/atom
Energy above the most stable polymorph in this dataset = 382 meV per atom
Total magnetization = 0.0 μB/f.u.



# 5
Material: VNiRu2
Method: DFT, GGA-PBE
State: optimized geometry

Unit cell a=3.6891 b=3.6891 c=16.9263 alpha=90.00 beta=90.00 gamma=90.00
Space group I-42d (No. 122)
One atom of each set of equivalent atoms:
V 0.0000 0.0000 0.0000 (multiplicity 4)
Ni 0.0000 0.0000 0.5000 (multiplicity 4)
Ru 0.2240 0.2500 0.6250 (multiplicity 8)

Calculated values
N(E_F) = 1.2953 states/eV/atom
DFT formation energy = 431 meV per atom
Total magnetization = 0.0 μB/f.u.



# 6
Material: Y4ErIr2
Method: DFT, GGA-PBE
State: optimized geometry

Unit cell a=7.8738 b=6.3245 c=7.9094 alpha=90.00 beta=112.68 gamma=90.00
Space group P2_1/m (No. 11)
One atom of each set of equivalent atoms:
Y 0.0163 0.2500 0.3798 (multiplicity 2)
Y 0.2466 0.7500 0.3331 (multiplicity 2)
Y 0.4160 0.0027 0.7644 (multiplicity 4)
Er 0.1574 0.2500 0.0313 (multiplicity 2)
Ir 0.2530 0.7500 0.9848 (multiplicity 2)
Ir 0.3740 0.2500 0.4095 (multiplicity 2)

Calculated values
N(E_F) = 1.0852 states/eV/atom
DFT formation energy = -515 meV per atom
Total magnetization = 0.0 μB/f.u.



# 7
Material: Tl3AgCl5
Method: DFT, GGA-PBE
State: optimized geometry

Unit cell a=8.2523 b=8.2523 c=15.3771 alpha=90.00 beta=90.00 gamma=90.00
Space group I4/mcm (No. 140)
One atom of each set of equivalent atoms:
Tl 0.0000 0.0000 0.2500 (multiplicity 4)
Tl 0.1660 0.3340 0.0000 (multiplicity 8)
Ag 0.0000 0.5000 0.2500 (multiplicity 4)
Cl 0.0000 0.0000 0.0000 (multiplicity 4)
Cl 0.1610 0.3390 0.3592 (multiplicity 16)

Calculated values
ΔE_f (raw) = -6.825 eV per formula unit
N(E_F) = 0.7420 states/eV/atom
Total magnetization = 0.0 μB/f.u.



# 8
Material: LaPr14Tm
Method: DFT, GGA-PBE
State: optimized geometry

Unit cell a=7.3978 b=7.3978 c=10.4956 alpha=90.00 beta=90.00 gamma=90.00
Space group P4/mmm (No. 123)
One atom of each set of equivalent atoms:
La 0.0000 0.0000 0.0000 (multiplicity 1)
Pr 0.0000 0.0000 0.5000 (multiplicity 1)
Pr 0.0000 0.5000 0.0000 (multiplicity 2)
Pr 0.0000 0.5000 0.5000 (multiplicity 2)
Pr 0.2521 0.2521 0.2482 (multiplicity 8)
Pr 0.5000 0.5000 0.5000 (multiplicity 1)
Tm 0.5000 0.5000 0.0000 (multiplicity 1)

Calculated values
N(E_F) = 1.5755 states/eV/atom
DFT formation energy = 11 meV per atom
Total magnetization = 0.0 μB/f.u.



# 9
Material: Li2BH
Method: DFT, GGA-PBE
State: optimized geometry

Unit cell a=5.0932 b=5.0932 c=6.0675 alpha=90.00 beta=90.00 gamma=90.00
Space group I-42d (No. 122)
One atom of each set of equivalent atoms:
Li 0.1602 0.2500 0.1250 (multiplicity 8)
B 0.0000 0.0000 0.5000 (multiplicity 4)
H 0.0000 0.0000 0.0000 (multiplicity 4)

Calculated values
N(E_F) = 0.0754 states/eV/atom
Energy above the most stable polymorph in this dataset = 0 meV per atom
Total magnetization = 0.0 μB/f.u.



# 10
Material: K12SeBr4O3
Method: DFT, GGA-PBE
State: optimized geometry

Unit cell a=11.0321 b=11.0321 c=11.0321 alpha=90.00 beta=90.00 gamma=90.00
Space group Im-3m (No. 229)
One atom of each set of equivalent atoms:
K 0.0000 0.0000 0.2730 (multiplicity 12)
K 0.0000 0.2500 0.5000 (multiplicity 12)
Se 0.0000 0.0000 0.0000 (multiplicity 2)
Br 0.2500 0.2500 0.2500 (multiplicity 8)
O 0.0000 0.0000 0.5000 (multiplicity 6)

Calculated values
ΔE_f (raw) = -25.560 eV per formula unit
Total magnetization = 0.0 μB/f.u.



# 11
Material: RbVCrSe3
Method: DFT, GGA-PBE
State: optimized geometry

Unit cell a=9.0632 b=3.6851 c=9.9096 alpha=90.00 beta=116.13 gamma=90.00
Space group P2_1/m (No. 11)
One atom of each set of equivalent atoms:
Rb 0.2314 0.2500 0.2494 (multiplicity 2)
V 0.0713 0.2500 0.5939 (multiplicity 2)
Cr 0.3279 0.7500 0.8479 (multiplicity 2)
Se 0.1317 0.2500 0.8569 (multiplicity 2)
Se 0.2356 0.7500 0.5540 (multiplicity 2)
Se 0.4728 0.7500 0.1317 (multiplicity 2)

Calculated values
ΔE_f (raw) = -4.407 eV per formula unit
N(E_F) = 0.2801 states/eV/atom
Total magnetization = 2.7 μB/f.u.



# 12
Material: NbAsPRu2
Method: DFT, GGA-PBE
State: optimized geometry

Unit cell a=4.4659 b=4.4659 c=4.8386 alpha=90.00 beta=90.00 gamma=90.00
Space group P4/mmm (No. 123)
One atom of each set of equivalent atoms:
Nb 0.0000 0.0000 0.0000 (multiplicity 1)
As 0.0000 0.0000 0.5000 (multiplicity 1)
P 0.5000 0.5000 0.0000 (multiplicity 1)
Ru 0.0000 0.5000 0.5000 (multiplicity 2)

Calculated values
N(E_F) = 0.7303 states/eV/atom
DFT formation energy = 1013 meV per atom
Total magnetization = 0.9 μB/f.u.



- Which formula does entry 9 have?
  Li2BH